# 1
This record from the Alexandria database describes a relaxed Li4PuPa3S8 crystal. The functional is GGA-PBE.

POSCAR file:
```
Li4PuPa3S8
1.0
3.882 2.241 6.292
-3.882 2.241 6.292
0.000 -4.483 6.292
Li Pu Pa S
4 1 3 8
direct
0.000 0.000 0.000 Li
0.000 0.500 0.500 Li
0.500 0.000 0.500 Li
0.500 0.500 0.000 Li
0.500 0.500 0.500 Pu
0.000 0.000 0.500 Pa
0.000 0.500 0.000 Pa
0.500 0.000 0.000 Pa
0.245 0.245 0.752 S
0.245 0.752 0.245 S
0.248 0.755 0.755 S
0.254 0.254 0.254 S
0.746 0.746 0.746 S
0.752 0.245 0.245 S
0.755 0.248 0.755 S
0.755 0.755 0.248 S
```

Raw total energy (eV/atom): -6.71
Uncorrected formation energy (kJ/mol of atoms): -144.4



# 2
This record from the Alexandria database describes a relaxed TbPu2Hg crystal. The functional is GGA-PBE.

POSCAR file:
```
TbPu2Hg
1.0
4.452 0.000 0.000
0.000 4.452 0.000
0.000 0.000 5.291
Tb Pu Hg
1 2 1
direct
0.000 0.000 0.000 Tb
0.000 0.500 0.500 Pu
0.500 0.000 0.500 Pu
0.500 0.500 0.000 Hg
```

Raw total energy (eV/atom): -8.44



# 3
This record from the Alexandria database describes a relaxed CsKEuPb crystal. The functional is GGA-PBE.

POSCAR file:
```
CsKEuPb
1.0
0.000 4.359 4.359
4.359 0.000 4.359
4.359 4.359 0.000
Cs K Eu Pb
1 1 1 1
direct
0.000 0.000 0.000 Cs
0.250 0.250 0.250 K
0.750 0.750 0.750 Eu
0.500 0.500 0.500 Pb
```

Raw total energy (eV/atom): -4.07



# 4
This record from the Alexandria database describes a relaxed V6IrRu crystal. The functional is GGA-PBE.

POSCAR file:
```
V6IrRu
1.0
4.235 0.000 0.000
0.000 3.009 4.235
0.000 -3.009 4.235
V Ir Ru
6 1 1
direct
0.000 0.000 0.000 V
0.000 0.510 0.993 V
0.000 0.993 0.510 V
0.500 0.245 0.755 V
0.500 0.752 0.752 V
0.500 0.755 0.245 V
0.500 0.249 0.249 Ir
0.000 0.500 0.500 Ru
```

Raw total energy (eV/atom): -9.46



> raw total energy of number 1 (Li4PuPa3S8)?

-6.71 eV/atom